# 1
Here is a geometry-optimized LiAgSbAu structure from OQMD via LeMat-Bulk. Energies are from PBE-GGA.

abc: 4.776 4.776 4.776
angles: 60.00 60.00 60.00
Fractional coordinates of all 4 atoms:
Ag 0.250 0.250 0.250
Au 0.750 0.750 0.750
Li 0.500 0.500 0.500
Sb 0.000 0.000 0.000

Values from the calculation:
For the total energy, the calculation gives -13.17 eV/cell.

***

# 2
Here is a geometry-optimized Al2SnMo structure from OQMD via LeMat-Bulk. Energies are from PBE-GGA.

abc: 4.642 4.642 4.642
angles: 60.00 60.00 60.00
Fractional coordinates of all 4 atoms:
Al 0.000 0.000 0.000
Al 0.250 0.250 0.250
Mo 0.500 0.500 0.500
Sn 0.750 0.750 0.750

Values from the calculation:
For the total energy, the calculation gives -20.64 eV/cell.

***

# 3
Here is a geometry-optimized Hf4Nb2Fe3N3 structure from OQMD via LeMat-Bulk. Energies are from PBE-GGA.

abc: 5.337 5.337 13.962
angles: 101.23 101.23 59.65
Site moments in Bohr magnetons follow the coordinates.
Fractional coordinates of all 24 atoms:
Fe 0.414 0.086 0.249  1.71
Fe 0.917 0.083 0.250  1.81
Fe 0.914 0.586 0.251  1.77
Fe 0.086 0.414 0.749  1.77
Fe 0.083 0.917 0.750  1.81
Fe 0.586 0.914 0.751  1.71
Hf 0.022 0.203 0.091  -0.14
Hf 0.694 0.860 0.092  -0.14
Hf 0.140 0.306 0.408  -0.15
Hf 0.797 0.979 0.409  -0.15
Hf 0.203 0.021 0.591  -0.15
Hf 0.860 0.694 0.592  -0.15
Hf 0.306 0.140 0.908  -0.14
Hf 0.978 0.797 0.909  -0.14
N 0.661 0.176 0.000  -0.01
N 0.000 0.500 0.000  0.00
N 0.339 0.824 0.000  -0.01
N 0.176 0.661 0.500  -0.01
N 0.500 0.000 0.500  0.00
N 0.824 0.339 0.500  -0.01
Nb 0.377 0.544 0.129  0.04
Nb 0.456 0.623 0.371  0.04
Nb 0.544 0.377 0.629  0.04
Nb 0.623 0.456 0.871  0.04

Values from the calculation:
For the total energy, the calculation gives -235.36 eV/cell.

***

# 4
Here is a geometry-optimized Pr4ZnI5 structure from OQMD via LeMat-Bulk. Energies are from PBE-GGA.

abc: 10.081 10.081 9.337
angles: 102.26 102.26 24.33
Fractional coordinates of all 10 atoms:
I 0.828 0.828 0.177
I 0.167 0.167 0.340
I 0.500 0.500 0.500
I 0.833 0.833 0.660
I 0.172 0.172 0.823
Pr 0.652 0.652 0.075
Pr 0.000 0.000 0.224
Pr 0.000 0.000 0.776
Pr 0.348 0.348 0.925
Zn 0.500 0.500 0.000

Values from the calculation:
For the total energy, the calculation gives -38.86 eV/cell.

***

# 5
Here is a geometry-optimized CuNiGePt structure from OQMD via LeMat-Bulk. Energies are from PBE-GGA.

abc: 4.236 4.236 4.236
angles: 60.00 60.00 60.00
Fractional coordinates of all 4 atoms:
Cu 0.750 0.750 0.750
Ge 0.000 0.000 0.000
Ni 0.500 0.500 0.500
Pt 0.250 0.250 0.250

Values from the calculation:
For the total energy, the calculation gives -20.48 eV/cell.

***

# 6
Here is a geometry-optimized Hf4Nb2Ga3C3 structure from OQMD via LeMat-Bulk. Energies are from PBE-GGA.

abc: 5.604 5.604 14.234
angles: 101.31 101.31 60.05
Fractional coordinates of all 24 atoms:
C 0.500 0.000 0.000
C 0.834 0.333 0.000
C 0.166 0.667 0.000
C 0.333 0.834 0.500
C 0.000 0.500 0.500
C 0.667 0.166 0.500
Ga 0.581 0.723 0.249
Ga 0.888 0.112 0.250
Ga 0.277 0.419 0.251
Ga 0.723 0.581 0.749
Ga 0.112 0.888 0.750
Ga 0.419 0.277 0.751
Hf 0.195 0.034 0.093
Hf 0.866 0.698 0.093
Hf 0.302 0.134 0.407
Hf 0.966 0.805 0.407
Hf 0.034 0.195 0.593
Hf 0.698 0.866 0.593
Hf 0.134 0.302 0.907
Hf 0.805 0.966 0.907
Nb 0.528 0.359 0.084
Nb 0.641 0.472 0.416
Nb 0.359 0.528 0.584
Nb 0.472 0.641 0.916

Values from the calculation:
For the total energy, the calculation gives -210.50 eV/cell.

***

# 7
Here is a geometry-optimized TbEr2As3 structure from OQMD via LeMat-Bulk. Energies are from PBE-GGA.

abc: 4.094 4.094 10.022
angles: 90.00 90.00 120.00
Fractional coordinates of all 6 atoms:
As 0.000 0.000 0.000
As 0.333 0.667 0.330
As 0.667 0.333 0.670
Er 0.667 0.333 0.165
Er 0.333 0.667 0.835
Tb 0.000 0.000 0.500

Values from the calculation:
For the total energy, the calculation gives -36.86 eV/cell.

***

# 8
Here is a geometry-optimized LiZrP structure from OQMD via LeMat-Bulk. Energies are from PBE-GGA.

abc: 6.992 6.992 3.502
angles: 90.00 90.00 120.00
Fractional coordinates of all 9 atoms:
Li 0.271 0.000 0.000
Li 0.000 0.271 0.000
Li 0.729 0.729 0.000
P 0.620 0.000 0.500
P 0.380 0.380 0.500
P 0.000 0.620 0.500
Zr 0.667 0.333 0.000
Zr 0.333 0.667 0.000
Zr 0.000 0.000 0.500

Values from the calculation:
For the total energy, the calculation gives -49.67 eV/cell.

***

# 9
Here is a geometry-optimized TbYZr2Bi2 structure from OQMD via LeMat-Bulk. Energies are from PBE-GGA.

abc: 9.007 9.007 9.007
angles: 152.18 152.18 39.75
Fractional coordinates of all 6 atoms:
Bi 0.134 0.134 0.000
Bi 0.866 0.866 0.000
Tb 0.676 0.676 0.000
Y 0.324 0.324 0.000
Zr 0.500 0.000 0.500
Zr 0.000 0.500 0.500

Values from the calculation:
For the total energy, the calculation gives -39.72 eV/cell.

***

# 10
Here is a geometry-optimized ScCdAg2 structure from OQMD via LeMat-Bulk. Energies are from PBE-GGA.

abc: 4.788 4.788 4.788
angles: 60.00 60.00 60.00
Fractional coordinates of all 4 atoms:
Ag 0.250 0.250 0.250
Ag 0.500 0.500 0.500
Cd 0.750 0.750 0.750
Sc 0.000 0.000 0.000

Values from the calculation:
Its formation enthalpy at 0 K is -0.1924 eV per atom.

***

# 11
Here is a geometry-optimized LaSmCu4 structure from OQMD via LeMat-Bulk. Energies are from PBE-GGA.

abc: 5.608 5.608 5.608
angles: 134.28 101.18 96.20
Fractional coordinates of all 6 atoms:
Cu 0.867 0.665 0.203
Cu 0.629 0.334 0.295
Cu 0.039 0.334 0.705
Cu 0.462 0.665 0.797
La 0.038 0.038 0.000
Sm 0.465 0.965 0.500

Values from the calculation:
Its formation enthalpy at 0 K is -0.2196 eV per atom.

***

# 12
Here is a geometry-optimized BaP4Au2 structure from OQMD via LeMat-Bulk. Energies are from PBE-GGA.

abc: 5.572 5.572 11.678
angles: 99.46 99.46 108.12
Fractional coordinates of all 14 atoms:
Au 0.587 0.087 0.174
Au 0.663 0.663 0.326
Au 0.337 0.337 0.674
Au 0.913 0.413 0.826
Ba 0.500 0.500 0.000
Ba 0.750 0.250 0.500
P 0.027 0.255 0.158
P 0.131 0.903 0.158
P 0.223 0.495 0.342
P 0.119 0.847 0.342
P 0.505 0.777 0.658
P 0.153 0.881 0.658
P 0.097 0.869 0.842
P 0.745 0.973 0.842

Values from the calculation:
For the total energy, the calculation gives -66.89 eV/cell.

***

# 13
Here is a geometry-optimized LiErPO structure from OQMD via LeMat-Bulk. Energies are from PBE-GGA.

abc: 3.354 6.692 6.546
angles: 90.00 90.00 90.00
Site moments in Bohr magnetons follow the coordinates.
Fractional coordinates of all 8 atoms:
Er 0.500 0.870 0.060  0.02
Er 0.500 0.130 0.560  0.02
Li 0.000 0.719 0.466  0.01
Li 0.000 0.281 0.966  0.01
O 0.500 0.868 0.385  0.00
O 0.500 0.132 0.885  0.00
P 0.000 0.368 0.342  0.08
P 0.000 0.632 0.842  0.08

Values from the calculation:
For the total energy, the calculation gives -45.41 eV/cell.

***

# 14
Here is a geometry-optimized LuTc2 structure from OQMD via LeMat-Bulk. Energies are from PBE-GGA.

abc: 5.317 5.317 8.765
angles: 90.00 90.00 119.99
Fractional coordinates of all 12 atoms:
Lu 0.167 0.833 0.063
Lu 0.167 0.833 0.437
Lu 0.833 0.167 0.563
Lu 0.833 0.167 0.937
Tc 0.500 0.500 0.000
Tc 0.672 0.328 0.250
Tc 0.157 0.328 0.250
Tc 0.672 0.843 0.250
Tc 0.500 0.500 0.500
Tc 0.328 0.157 0.750
Tc 0.843 0.672 0.750
Tc 0.328 0.672 0.750

Values from the calculation:
Its formation enthalpy at 0 K is -0.2731 eV per atom.

***

# 15
Here is a geometry-optimized SmSiMo structure from OQMD via LeMat-Bulk. Energies are from PBE-GGA.

abc: 4.775 4.775 4.775
angles: 60.00 60.00 60.00
Fractional coordinates of all 3 atoms:
Mo 0.250 0.250 0.250
Si 0.750 0.750 0.750
Sm 0.000 0.000 0.000

Values from the calculation:
For the total energy, the calculation gives -17.36 eV/cell.

***

# 16
Here is a geometry-optimized MgScHg2 structure from OQMD via LeMat-Bulk. Energies are from PBE-GGA.

abc: 4.886 4.886 4.886
angles: 60.00 60.00 60.00
Fractional coordinates of all 4 atoms:
Hg 0.500 0.500 0.500
Hg 0.750 0.750 0.750
Mg 0.250 0.250 0.250
Sc 0.000 0.000 0.000

Values from the calculation:
For the total energy, the calculation gives -9.04 eV/cell.

***

# 17
Here is a geometry-optimized YCuPbW structure from OQMD via LeMat-Bulk. Energies are from PBE-GGA.

abc: 4.922 4.922 4.922
angles: 60.00 60.00 60.00
Fractional coordinates of all 4 atoms:
Cu 0.750 0.750 0.750
Pb 0.000 0.000 0.000
W 0.500 0.500 0.500
Y 0.250 0.250 0.250

Values from the calculation:
For the total energy, the calculation gives -23.35 eV/cell.

***

# 18
Here is a geometry-optimized HoTm2Lu structure from OQMD via LeMat-Bulk. Energies are from PBE-GGA.

abc: 5.500 7.099 7.099
angles: 59.99 90.00 90.00
Fractional coordinates of all 8 atoms:
Ho 0.000 0.333 0.333
Ho 0.500 0.666 0.666
Lu 0.500 0.668 0.166
Lu 0.500 0.166 0.668
Tm 0.500 0.166 0.166
Tm 0.000 0.834 0.333
Tm 0.000 0.834 0.834
Tm 0.000 0.333 0.834

Values from the calculation:
Its formation enthalpy at 0 K is -0.0002 eV per atom.

***

# 19
Here is a geometry-optimized NaAcEr structure from OQMD via LeMat-Bulk. Energies are from PBE-GGA.

abc: 5.539 5.539 5.539
angles: 60.00 60.00 60.00
Fractional coordinates of all 3 atoms:
Ac 0.250 0.250 0.250
Er 0.750 0.750 0.750
Na 0.000 0.000 0.000

Values from the calculation:
For the total energy, the calculation gives -7.83 eV/cell.

***

# 20
Here is a geometry-optimized ZnCuTcNi structure from OQMD via LeMat-Bulk. Energies are from PBE-GGA.

abc: 4.176 4.176 4.176
angles: 60.00 60.00 60.00
Fractional coordinates of all 4 atoms:
Cu 0.750 0.750 0.750
Ni 0.500 0.500 0.500
Tc 0.250 0.250 0.250
Zn 0.000 0.000 0.000

Values from the calculation:
Its formation enthalpy at 0 K is 0.1591 eV per atom.